Record 1
VASP calculation (meta-GGA SCAN) on a crystal of Al2Fe2Ni relaxed with PBEsol.

Values from the calculation:
For the formation energy from the elements, the calculation gives 0.433 eV per atom. Its energy is -13.15 eV/atom. As for the density of states at the Fermi level: 3.443 states/eV/cell.

a b c (Å): 3.508 3.508 6.087
angles (deg): 106.75 106.75 90.00
Last column: magnetic moment on the atom in μB.
Fractional positions:
Ni 0.000 0.000 0.000  0.83
Fe 0.405 0.405 0.810  2.35
Fe 0.595 0.595 0.190  2.35
Al 0.250 0.750 0.500  -0.06
Al 0.750 0.250 0.500  -0.06



Record 2
VASP calculation (meta-GGA SCAN) on a crystal of AlFe2Ni relaxed with PBEsol.

Values from the calculation:
For the formation energy from the elements, the calculation gives -0.324 eV per atom. Its energy is -15.37 eV/atom. As for the density of states at the Fermi level: 1.829 states/eV/cell.

a b c (Å): 2.868 2.868 5.498
angles (deg): 90.00 90.00 90.00
Last column: magnetic moment on the atom in μB.
Fractional positions:
Ni 0.000 0.000 0.497  0.43
Fe 0.000 0.000 0.012  1.76
Fe 0.500 0.500 0.242  2.89
Al 0.500 0.500 0.750  -0.05



Record 3
VASP calculation (meta-GGA SCAN) on a crystal of AlFeNi2Se relaxed with PBEsol.

Values from the calculation:
Its energy is -14.84 eV/atom. As for the density of states at the Fermi level: 3.108 states/eV/cell. As for the uncorrected formation energy: 0.817 eV per atom.

a b c (Å): 4.214 4.214 4.845
angles (deg): 90.00 90.00 90.00
Last column: magnetic moment on the atom in μB.
Fractional positions:
Ni 0.000 0.500 0.000  0.18
Ni 0.500 0.000 0.000  0.18
Fe 0.500 0.500 0.500  3.30
Se 0.000 0.000 0.000  0.02
Al 0.000 0.000 0.500  -0.01



Record 4
VASP calculation (meta-GGA SCAN) on a crystal of Al2FeO4 relaxed with PBEsol.

Values from the calculation:
Its energy is -11.07 eV/atom. The offset from the most stable computed form comes out at 44.5 meV per atom. As for the density of states at the Fermi level: 2.191 states/eV/cell. As for the uncorrected formation energy: -2.707 eV per atom.

a b c (Å): 5.517 5.755 5.755
angles (deg): 61.33 61.36 61.36
Last column: magnetic moment on the atom in μB.
Fractional positions:
Al 0.364 0.386 0.886  0.00
Al 0.636 0.614 0.114  0.00
Al 0.000 0.000 0.000  0.00
Al 0.000 0.500 0.500  0.00
Fe 0.500 0.000 0.500  3.63
Fe 0.000 0.000 0.500  3.63
O 0.230 0.759 0.782  0.10
O 0.230 0.282 0.259  0.10
O 0.770 0.718 0.741  0.10
O 0.770 0.241 0.218  0.10
O 0.234 0.253 0.753  0.05
O 0.761 0.253 0.753  0.05
O 0.239 0.747 0.247  0.05
O 0.766 0.747 0.247  0.05



Record 5
VASP calculation (meta-GGA SCAN) on a crystal of AlFe2O4 relaxed with PBEsol.

Values from the calculation:
Its energy is -12.03 eV/atom. As for the density of states at the Fermi level: 5.219 states/eV/cell. As for the uncorrected formation energy: -2.186 eV per atom.

a b c (Å): 5.836 5.837 5.837
angles (deg): 60.00 60.01 60.01
Last column: magnetic moment on the atom in μB.
Fractional positions:
Al 0.125 0.625 0.125  0.02
Al 0.875 0.375 0.875  0.02
Fe 0.500 0.000 0.000  3.94
Fe 0.000 0.000 0.500  3.94
Fe 0.500 0.500 0.500  3.94
Fe 0.500 0.000 0.500  3.94
O 0.750 0.250 0.250  0.22
O 0.750 0.750 0.250  0.23
O 0.250 0.250 0.250  0.22
O 0.250 0.750 0.250  0.23
O 0.750 0.750 0.750  0.22
O 0.750 0.250 0.750  0.23
O 0.250 0.250 0.750  0.23
O 0.250 0.750 0.750  0.22



Record 6
VASP calculation (meta-GGA SCAN) on a crystal of Al2FeO4 relaxed with PBEsol.

Values from the calculation:
Its energy is -11.12 eV/atom. The offset from the most stable computed form comes out at 0.0 meV per atom. As for the density of states at the Fermi level: 12.229 states/eV/cell. As for the uncorrected formation energy: -2.751 eV per atom.

a b c (Å): 5.748 5.748 5.748
angles (deg): 60.00 90.00 120.00
Last column: magnetic moment on the atom in μB.
Fractional positions:
Fe 0.250 0.500 0.250  3.57
Fe 0.500 0.000 0.500  3.57
O 0.081 0.721 0.640  0.06
O 0.110 0.221 0.669  0.06
O 0.110 0.779 0.110  0.06
O 0.110 0.221 0.110  0.06
O 0.640 0.721 0.640  0.06
O 0.640 0.279 0.640  0.06
O 0.669 0.779 0.110  0.06
O 0.640 0.279 0.081  0.06
Al 0.375 0.250 0.875  0.01
Al 0.875 0.750 0.375  0.01
Al 0.875 0.250 0.875  0.01
Al 0.875 0.750 0.875  0.01